# GGA-PBEsol SrSc3Re, relaxed
data_SrSc3Re
_chemical_formula_sum 'Sr1 Sc3 Re1'
_space_group_name_H-M_alt 'P m -3 m'
_space_group_IT_number 221
_space_group_name_Hall '-P 4 2 3'
_cell_length_a 5.143
_cell_length_b 5.143
_cell_length_c 5.143
_cell_angle_alpha 90.00
_cell_angle_beta 90.00
_cell_angle_gamma 90.00
loop_
_atom_site_label
_atom_site_type_symbol
_atom_site_fract_x
_atom_site_fract_y
_atom_site_fract_z
Sr1 Sr 0.000 0.000 0.000
Sc1 Sc 0.000 0.500 0.500
Re1 Re 0.500 0.500 0.500
# Raw total energy   -34.2 eV for the cell shown
# N(E_F)   0.5779 states/eV per atom
# Total moment   0.00 μB/atom
# Calculated density   5.0 g/cm³

=====

# GGA-PBEsol RbMgP2Cl, relaxed
data_RbMgP2Cl
_chemical_formula_sum 'Rb1 Mg1 P2 Cl1'
_space_group_name_H-M_alt 'P 4/m m m'
_space_group_IT_number 123
_space_group_name_Hall '-P 4 2'
_cell_length_a 4.914
_cell_length_b 4.914
_cell_length_c 5.406
_cell_angle_alpha 90.00
_cell_angle_beta 90.00
_cell_angle_gamma 90.00
loop_
_atom_site_label
_atom_site_type_symbol
_atom_site_fract_x
_atom_site_fract_y
_atom_site_fract_z
Rb1 Rb 0.000 0.000 0.000
Mg1 Mg 0.500 0.500 0.500
P1 P 0.000 0.500 0.500
Cl1 Cl 0.500 0.500 0.000
# N(E_F)   0.5670 states/eV per atom
# Total moment   0.37 μB/atom
# Calculated density   2.6 g/cm³
# ΔE_f (raw)   -0.1011 eV per atom

=====

# GGA-PBEsol BaLiBr, relaxed
data_BaLiBr
_chemical_formula_sum 'Ba1 Li1 Br1'
_space_group_name_H-M_alt 'P 3 m 1'
_space_group_IT_number 156
_cell_length_a 4.0856
_cell_length_b 4.0856
_cell_length_c 7.1141
_cell_angle_alpha 90.00
_cell_angle_beta 90.00
_cell_angle_gamma 120.00
loop_
_space_group_symop_operation_xyz
'x,y,z'
'-y,x-y,z'
'-x+y,-x,z'
'-y,-x,z'
'-x+y,y,z'
'x,x-y,z'
loop_
_atom_site_label
_atom_site_type_symbol
_atom_site_fract_x
_atom_site_fract_y
_atom_site_fract_z
Ba1 Ba 0.0000 0.0000 0.0000
Li1 Li 0.6667 0.3333 0.4648
Br1 Br 0.3333 0.6667 0.6518
# N(E_F)   0.7759 states/eV per atom
# Total moment   0.00 μB/atom
# Calculated density   3.6 g/cm³
# ΔE_f (raw)   -0.8778 eV per atom

=====

# GGA-PBEsol SrAlOs3, relaxed
data_SrAlOs3
_chemical_formula_sum 'Sr1 Al1 Os3'
_space_group_name_H-M_alt 'P m -3 m'
_space_group_IT_number 221
_space_group_name_Hall '-P 4 2 3'
_cell_length_a 4.725
_cell_length_b 4.725
_cell_length_c 4.725
_cell_angle_alpha 90.00
_cell_angle_beta 90.00
_cell_angle_gamma 90.00
loop_
_atom_site_label
_atom_site_type_symbol
_atom_site_fract_x
_atom_site_fract_y
_atom_site_fract_z
Sr1 Sr 0.000 0.000 0.000
Al1 Al 0.500 0.500 0.500
Os1 Os 0.000 0.000 0.500
# Raw total energy   -24.7 eV for the cell shown
# N(E_F)   1.5809 states/eV per atom
# Total moment   0.00 μB/atom
# Calculated density   10.8 g/cm³